DFT (meta-GGA SCAN) results for a crystal of La2SnHgAs relaxed with PBEsol.

a = 5.646 Å, b = 5.646 Å, c = 5.168 Å
α = 90.00°, β = 90.00°, γ = 90.00°
Fractional positions:
1 La 0.000 0.500 0.000
2 La 0.500 0.000 0.000
3 Sn 0.000 0.000 0.500
4 Hg 0.500 0.500 0.500
5 As 0.000 0.000 0.000

Calculated values
DFT formation energy, meV per atom: -458
N(E_F), states/eV/cell: 4.069
Crystal system: tetragonal

=====

DFT (meta-GGA SCAN) results for a crystal of HfInAs2Se relaxed with PBEsol.

a = 5.140 Å, b = 5.140 Å, c = 5.073 Å
α = 90.00°, β = 90.00°, γ = 90.00°
Fractional positions:
1 Hf 0.000 0.000 0.000
2 In 0.500 0.500 0.500
3 As 0.000 0.500 0.000
4 As 0.500 0.000 0.000
5 Se 0.000 0.000 0.500

Calculated values
N(E_F), states/eV/cell: 4.304
Energy relative to the elements, uncorrected, meV per atom: -120
Crystal system: tetragonal

=====

DFT (meta-GGA SCAN) results for a crystal of La2YTl relaxed with PBEsol.

a = 3.608 Å, b = 3.608 Å, c = 9.691 Å
α = 90.00°, β = 90.00°, γ = 90.00°
Fractional positions:
1 La 0.000 0.000 0.230
2 La 0.000 0.000 0.770
3 Y 0.500 0.500 0.500
4 Tl 0.500 0.500 0.000

Calculated values
DFT formation energy, meV per atom: -228
E above lowest polymorph, eV/atom: 0.1189
N(E_F), states/eV/cell: 6.006
Crystal system: tetragonal

=====

DFT (meta-GGA SCAN) results for a crystal of BeNi2P relaxed with PBEsol.

a = 3.621 Å, b = 4.383 Å, c = 4.383 Å
α = 34.85°, β = 90.00°, γ = 90.00°
Fractional positions:
1 Be 0.000 0.000 0.000
2 Ni 0.000 0.735 0.735
3 Ni 0.500 0.424 0.424
4 P 0.500 0.156 0.156

Calculated values
DFT formation energy, meV per atom: -294
E above lowest polymorph, eV/atom: 0.0842
N(E_F), states/eV/cell: 1.477
Crystal system: orthorhombic

=====

DFT (meta-GGA SCAN) results for a crystal of BaSrAs2Br relaxed with PBEsol.

a = 5.665 Å, b = 5.665 Å, c = 5.976 Å
α = 90.00°, β = 90.00°, γ = 90.00°
Fractional positions:
1 Ba 0.000 0.000 0.000
2 Sr 0.500 0.500 0.500
3 As 0.000 0.500 0.000
4 As 0.500 0.000 0.000
5 Br 0.000 0.000 0.500

Calculated values
N(E_F), states/eV/cell: 3.408
Energy relative to the elements, uncorrected, meV per atom: -408
Crystal system: tetragonal

=====

DFT (meta-GGA SCAN) results for a crystal of MgCd3Ag relaxed with PBEsol.

a = 5.148 Å, b = 5.148 Å, c = 5.148 Å
α = 90.00°, β = 90.00°, γ = 90.00°
Fractional positions:
1 Mg 0.000 0.000 0.000
2 Cd 0.000 0.500 0.500
3 Cd 0.500 0.000 0.500
4 Cd 0.500 0.500 0.000
5 Ag 0.500 0.500 0.500

Calculated values
DFT formation energy, meV per atom: 341
N(E_F), states/eV/cell: 2.022
Crystal system: cubic

=====

DFT (meta-GGA SCAN) results for a crystal of Re2Ir relaxed with PBEsol.

a = 7.312 Å, b = 7.312 Å, c = 4.379 Å
α = 90.00°, β = 90.00°, γ = 158.52°
Fractional positions:
1 Re 0.054 0.946 0.750
2 Re 0.278 0.722 0.250
3 Re 0.722 0.278 0.750
4 Re 0.946 0.054 0.250
5 Ir 0.390 0.610 0.750
6 Ir 0.610 0.390 0.250

Calculated values
DFT formation energy, meV per atom: -250
E above lowest polymorph, eV/atom: 0.0000
N(E_F), states/eV/cell: 4.011
Crystal system: orthorhombic

=====

DFT (meta-GGA SCAN) results for a crystal of CsNbPS2 relaxed with PBEsol.

a = 4.898 Å, b = 4.898 Å, c = 4.912 Å
α = 90.00°, β = 90.00°, γ = 90.00°
Fractional positions:
1 Cs 0.000 0.000 0.000
2 Nb 0.500 0.500 0.500
3 P 0.500 0.500 0.000
4 S 0.000 0.500 0.500
5 S 0.500 0.000 0.500

Calculated values
N(E_F), states/eV/cell: 2.882
Energy relative to the elements, uncorrected, meV per atom: -684
Crystal system: tetragonal

=====

DFT (meta-GGA SCAN) results for a crystal of CaS2I relaxed with PBEsol.

a = 8.344 Å, b = 8.344 Å, c = 8.344 Å
α = 28.38°, β = 28.38°, γ = 28.38°
Fractional positions:
1 Ca 0.000 0.000 0.000
2 S 0.394 0.394 0.394
3 S 0.606 0.606 0.606
4 I 0.500 0.500 0.500

Calculated values
N(E_F), states/eV/cell: 4.323
Energy relative to the elements, uncorrected, meV per atom: -896
Crystal system: trigonal

=====

DFT (meta-GGA SCAN) results for a crystal of Ga2SbP relaxed with PBEsol.

a = 7.027 Å, b = 7.027 Å, c = 7.027 Å
α = 131.49°, β = 131.49°, γ = 71.04°
Fractional positions:
1 Ga 0.087 0.625 0.962
2 Ga 0.375 0.337 0.462
3 Ga 0.663 0.125 0.038
4 Ga 0.875 0.913 0.538
5 Sb 0.250 0.750 0.500
6 Sb 0.500 0.500 0.000
7 P 0.000 0.000 0.000
8 P 0.750 0.250 0.500

Calculated values
Energy relative to the elements, uncorrected, meV per atom: -282
Crystal system: tetragonal

=====

DFT (meta-GGA SCAN) results for a crystal of Cu2AsCl relaxed with PBEsol.

a = 6.905 Å, b = 6.905 Å, c = 6.905 Å
α = 154.29°, β = 153.38°, γ = 37.34°
Fractional positions:
1 Cu 0.000 0.000 0.000
2 Cu 0.737 0.237 0.500
3 As 0.145 0.645 0.500
4 Cl 0.394 0.394 0.000

Calculated values
N(E_F), states/eV/cell: 0.758
Energy relative to the elements, uncorrected, meV per atom: -41
Crystal system: orthorhombic

=====

DFT (meta-GGA SCAN) results for a crystal of Ta2H relaxed with PBEsol.

a = 2.892 Å, b = 2.892 Å, c = 4.856 Å
α = 95.85°, β = 95.85°, γ = 67.72°
Fractional positions:
1 Ta 0.233 0.233 0.263
2 Ta 0.767 0.767 0.737
3 H 0.500 0.500 0.000

Calculated values
E above lowest polymorph, eV/atom: 0.0672
N(E_F), states/eV/cell: 1.603
Crystal system: monoclinic

=====

DFT (meta-GGA SCAN) results for a crystal of YTlIn2 relaxed with PBEsol.

a = 5.925 Å, b = 5.925 Å, c = 5.925 Å
α = 136.14°, β = 136.14°, γ = 63.76°
Fractional positions:
1 Y 0.000 0.000 0.000
2 Tl 0.500 0.500 0.000
3 In 0.250 0.750 0.500
4 In 0.750 0.250 0.500

Calculated values
DFT formation energy, meV per atom: -436
N(E_F), states/eV/cell: 1.975
Crystal system: tetragonal

=====

DFT (meta-GGA SCAN) results for a crystal of Nb3CrCu relaxed with PBEsol.

a = 4.611 Å, b = 4.611 Å, c = 4.611 Å
α = 90.00°, β = 90.00°, γ = 90.00°
Fractional positions:
1 Nb 0.000 0.000 0.500
2 Nb 0.000 0.500 0.000
3 Nb 0.500 0.000 0.000
4 Cr 0.500 0.500 0.500
5 Cu 0.000 0.000 0.000

Calculated values
DFT formation energy, meV per atom: 1185
N(E_F), states/eV/cell: 5.853
Crystal system: cubic

=====

DFT (meta-GGA SCAN) results for a crystal of Gd3MoO7 relaxed with PBEsol.

a = 7.410 Å, b = 7.432 Å, c = 10.508 Å
α = 90.00°, β = 90.00°, γ = 90.00°
Fractional positions:
1 Gd 0.034 0.011 0.242
2 Gd 0.196 0.252 0.515
3 Gd 0.217 0.245 0.970
4 Gd 0.283 0.755 0.470
5 Gd 0.304 0.748 0.015
6 Gd 0.466 0.989 0.742
7 Gd 0.534 0.489 0.758
8 Gd 0.696 0.248 0.485
9 Gd 0.717 0.255 0.030
10 Gd 0.783 0.745 0.530
11 Gd 0.804 0.752 0.985
12 Gd 0.966 0.511 0.258
13 Mo 0.004 0.502 0.749
14 Mo 0.496 0.498 0.249
15 Mo 0.504 0.998 0.251
16 Mo 0.996 0.002 0.751
17 O 0.001 0.768 0.381
18 O 0.042 0.744 0.117
19 O 0.059 0.252 0.737
20 O 0.128 0.548 0.598
21 O 0.184 0.965 0.622
22 O 0.207 0.528 0.865
23 O 0.218 0.966 0.870
24 O 0.282 0.034 0.370
25 O 0.293 0.472 0.365
26 O 0.316 0.035 0.122
27 O 0.372 0.452 0.098
28 O 0.441 0.748 0.237
29 O 0.458 0.256 0.617
30 O 0.499 0.232 0.881
31 O 0.501 0.732 0.619
32 O 0.542 0.756 0.883
33 O 0.559 0.248 0.263
34 O 0.628 0.952 0.402
35 O 0.684 0.535 0.378
36 O 0.707 0.972 0.135
37 O 0.718 0.534 0.130
38 O 0.782 0.466 0.630
39 O 0.793 0.028 0.635
40 O 0.816 0.465 0.878
41 O 0.872 0.048 0.902
42 O 0.941 0.752 0.763
43 O 0.958 0.244 0.383
44 O 0.999 0.268 0.119

Calculated values
N(E_F), states/eV/cell: 2.655
Energy relative to the elements, uncorrected, meV per atom: -3268
Crystal system: orthorhombic

=====

DFT (meta-GGA SCAN) results for a crystal of AlTe2NF relaxed with PBEsol.

a = 5.375 Å, b = 5.375 Å, c = 3.433 Å
α = 90.00°, β = 90.00°, γ = 90.00°
Fractional positions:
1 Al 0.000 0.000 0.000
2 Te 0.000 0.500 0.000
3 Te 0.500 0.000 0.000
4 N 0.000 0.000 0.500
5 F 0.500 0.500 0.500

Calculated values
N(E_F), states/eV/cell: 4.380
Energy relative to the elements, uncorrected, meV per atom: 137
Crystal system: tetragonal

=====

DFT (meta-GGA SCAN) results for a crystal of LaIn5Ir relaxed with PBEsol.

a = 4.670 Å, b = 4.670 Å, c = 7.517 Å
α = 90.00°, β = 90.00°, γ = 90.00°
Fractional positions:
1 La 0.000 0.000 0.000
2 In 0.000 0.500 0.305
3 In 0.000 0.500 0.695
4 In 0.500 0.000 0.305
5 In 0.500 0.000 0.695
6 In 0.500 0.500 0.000
7 Ir 0.000 0.000 0.500

Calculated values
DFT formation energy, meV per atom: -531
N(E_F), states/eV/cell: 1.921
Crystal system: tetragonal

=====

DFT (meta-GGA SCAN) results for a crystal of Zr2CdFe relaxed with PBEsol.

a = 3.139 Å, b = 3.139 Å, c = 7.371 Å
α = 90.00°, β = 90.00°, γ = 90.00°
Fractional positions:
1 Zr 0.000 0.000 0.209
2 Zr 0.000 0.000 0.791
3 Cd 0.500 0.500 0.500
4 Fe 0.500 0.500 0.000

Calculated values
DFT formation energy, meV per atom: -187
N(E_F), states/eV/cell: 2.856
Crystal system: tetragonal

=====

DFT (meta-GGA SCAN) results for a crystal of BaZrAl2 relaxed with PBEsol.

a = 4.478 Å, b = 6.981 Å, c = 6.981 Å
α = 28.16°, β = 90.00°, γ = 90.00°
Fractional positions:
1 Ba 0.000 0.000 0.000
2 Zr 0.500 0.298 0.298
3 Al 0.000 0.745 0.745
4 Al 0.500 0.631 0.631

Calculated values
DFT formation energy, meV per atom: -22
E above lowest polymorph, eV/atom: 0.0949
N(E_F), states/eV/cell: 2.966
Crystal system: orthorhombic

=====

DFT (meta-GGA SCAN) results for a crystal of InAs2PtSe relaxed with PBEsol.

a = 5.031 Å, b = 5.031 Å, c = 5.013 Å
α = 90.00°, β = 90.00°, γ = 90.00°
Fractional positions:
1 In 0.000 0.000 0.000
2 As 0.000 0.500 0.000
3 As 0.500 0.000 0.000
4 Pt 0.500 0.500 0.500
5 Se 0.000 0.000 0.500

Calculated values
N(E_F), states/eV/cell: 4.648
Energy relative to the elements, uncorrected, meV per atom: 1419
Crystal system: tetragonal